Ti3CuNi2P6O24 after structural relaxation. Source: the Alexandria database, functional GGA+U.

Cell: 8.6251 8.6251 20.5572 Å, 90.00 90.00 120.00°
Closest atoms and distances in Å follow each position.
Space group R3 (No. 146, hexagonal axes)
Asymmetric unit:
Ti 0.0000 0.0000 0.0000 (multiplicity 3)  6 O 1.89-2.05
Ti 0.0000 0.0000 0.2123 (multiplicity 3)  6 O 1.87-2.03
Ti 0.0000 0.0000 0.5035 (multiplicity 3)  6 O 1.87-2.09
Cu 0.0000 0.0000 0.7136 (multiplicity 3)  6 O 1.98-2.16
Ni 0.0000 0.0000 0.3564 (multiplicity 3)  6 O 2.15-2.17
Ni 0.0000 0.0000 0.8544 (multiplicity 3)  6 O 2.10-2.18
P 0.0008 0.7042 0.6100 (multiplicity 9)  4 O 1.50-1.57
P 0.0021 0.2968 0.1073 (multiplicity 9)  4 O 1.52-1.56
O 0.0018 0.7940 0.6724 (multiplicity 9)  1 P 1.50
O 0.0060 0.8304 0.2793 (multiplicity 9)  1 P 1.57
O 0.0250 0.1924 0.7865 (multiplicity 9)  1 P 1.52
O 0.0271 0.1994 0.1662 (multiplicity 9)  1 P 1.55
O 0.1446 0.4749 0.7127 (multiplicity 9)  1 P 1.55
O 0.1490 0.6733 0.2158 (multiplicity 9)  1 P 1.57
O 0.1707 0.4859 0.0987 (multiplicity 9)  1 P 1.56
O 0.1709 0.6862 0.5983 (multiplicity 9)  1 P 1.57

Calculated values
* crystal system: trigonal
* raw total energy: -0.538 Ry/atom
* total moment: 5.0 μB per formula unit